Record 1
An optimized crystal structure of Be5Zn, computed with PBE-GGA.

abc: 4.131 4.131 3.681
angles: 90.00 90.00 120.00
Sites, in units of the cell vectors:
Be1 0.333 0.634 0.000
Be2 0.967 0.000 0.000
Be3 0.000 0.333 0.500
Be4 0.700 0.366 0.000
Be5 0.667 0.667 0.500
Zn1 0.333 0.000 0.500

Output
The calculation puts the total energy at -3.233 eV/atom. The density is 3.37 g/cm3. Its energy relative to the elements is 8.12 kJ per mole of atoms. The value obtained for the density of states at the Fermi level is 0.61 states/eV per cell. The size of the total moment is 0.00 μB/cell. The space group is No. 189.



Record 2
An optimized crystal structure of TaNiCl, computed with PBE-GGA.

abc: 7.349 7.349 2.915
angles: 78.56 78.57 22.88
Sites, in units of the cell vectors:
Cl1 0.048 0.048 0.952
Ni1 0.283 0.283 0.717
Ta1 0.669 0.669 0.331

Output
The calculation puts the total energy at -6.512 eV/atom. The density is 7.62 g/cm3. For the energy above the most stable polymorph in this dataset, the calculation gives 74 meV per atom. The value obtained for the density of states at the Fermi level is 2.09 states/eV per cell. The size of the total moment is 0.00 μB/cell. The space group is No. 107.



Record 3
An optimized crystal structure of LiCaCd2O4, computed with PBE-GGA.

abc: 6.626 6.626 6.705
angles: 120.33 120.33 89.13
Each line ends with the local moment (μB).
Sites, in units of the cell vectors:
Cd1 0.500 0.000 0.000  0.02
O1 0.747 0.256 0.502  0.16
O2 0.756 0.247 0.002  0.16
O3 0.749 0.753 0.005  0.26
O4 0.253 0.249 0.505  0.26
Li1 0.500 0.500 0.500  0.00
Ca1 0.000 0.500 0.000  0.00
O5 0.251 0.247 0.995  0.26
O6 0.244 0.753 0.998  0.16
Cd2 0.000 0.000 0.500  0.04
O7 0.253 0.744 0.498  0.16
Li2 0.000 0.000 0.000  0.00
Cd3 0.500 0.000 0.500  0.02
O8 0.747 0.751 0.495  0.26
Ca2 0.000 0.500 0.500  0.00
Cd4 0.500 0.500 0.000  0.04

Output
The calculation puts the total energy at -4.710 eV/atom. The density is 5.37 g/cm3. The value obtained for the density of states at the Fermi level is 12.84 states/eV per cell. The size of the total moment is 2.08 μB/cell. The space group is No. 15.



Record 4
An optimized crystal structure of LiCuMo2, computed with PBE-GGA.

abc: 4.269 4.269 4.269
angles: 60.00 60.00 60.00
Sites, in units of the cell vectors:
Mo1 0.750 0.750 0.750
Mo2 0.250 0.250 0.250
Cu1 0.500 0.500 0.500
Li1 0.000 0.000 0.000

Output
The calculation puts the total energy at -6.270 eV/atom. The density is 7.92 g/cm3. Its energy relative to the elements is 62.54 kJ per mole of atoms. For the energy above the most stable polymorph in this dataset, the calculation gives 473 meV per atom. The value obtained for the density of states at the Fermi level is 4.47 states/eV per cell. The size of the total moment is 0.00 μB/cell. The space group is No. 225.



Record 5
An optimized crystal structure of Ba3PuSn2O9, computed with PBE-GGA.

abc: 6.032 6.032 7.409
angles: 90.00 90.00 120.00
Each line ends with the local moment (μB).
Sites, in units of the cell vectors:
O1 0.829 0.658 0.674  -0.03
O2 0.171 0.342 0.326  -0.03
Ba1 0.000 0.000 0.000  0.01
O3 0.000 0.500 0.000  0.00
O4 0.342 0.171 0.674  -0.03
O5 0.500 0.500 0.000  0.00
Ba2 0.333 0.667 0.674  0.01
Sn1 0.667 0.333 0.838  0.01
Sn2 0.333 0.667 0.162  0.01
O6 0.171 0.829 0.326  -0.03
O7 0.658 0.829 0.326  -0.03
O8 0.500 0.000 0.000  0.00
Pu1 0.000 0.000 0.500  4.09
O9 0.829 0.171 0.674  -0.03
Ba3 0.667 0.333 0.326  0.01

Output
The calculation puts the total energy at -7.291 eV/atom. The density is 7.38 g/cm3. The value obtained for the density of states at the Fermi level is 9.28 states/eV per cell. The size of the total moment is 4.00 μB/cell. The space group is No. 164.



Record 6
An optimized crystal structure of LuThGaFe, computed with PBE-GGA.

abc: 4.980 4.980 4.980
angles: 60.00 60.00 60.00
Each line ends with the local moment (μB).
Sites, in units of the cell vectors:
Th1 0.000 0.000 0.000  -0.17
Lu1 0.500 0.500 0.500  -0.20
Fe1 0.750 0.750 0.750  1.76
Ga1 0.250 0.250 0.250  0.03

Output
The calculation puts the total energy at -6.012 eV/atom. The density is 10.13 g/cm3. Its energy relative to the elements is -14.91 kJ per mole of atoms. The value obtained for the density of states at the Fermi level is 5.08 states/eV per cell. The size of the total moment is 1.31 μB/cell. The space group is No. 216.



Record 7
An optimized crystal structure of AlCuBr2, computed with PBE-GGA.

abc: 3.813 3.813 9.014
angles: 90.00 90.00 125.27
Sites, in units of the cell vectors:
Br1 0.500 0.500 0.340
Cu1 0.000 0.000 0.523
Br2 0.000 0.000 0.924
Al1 0.500 0.500 0.714

Output
The calculation puts the total energy at -2.977 eV/atom. The density is 3.89 g/cm3. For the energy above the most stable polymorph in this dataset, the calculation gives 184 meV per atom. The value obtained for the density of states at the Fermi level is 1.12 states/eV per cell. The size of the total moment is 0.00 μB/cell. The space group is No. 35.



Record 8
An optimized crystal structure of LaGa2Fe, computed with PBE-GGA.

abc: 4.203 4.203 5.961
angles: 69.36 69.36 60.00
Each line ends with the local moment (μB).
Sites, in units of the cell vectors:
La1 0.000 0.000 0.000  -0.04
Ga1 0.210 0.210 0.370  -0.03
Fe1 0.500 0.500 0.500  2.21
Ga2 0.790 0.790 0.630  -0.03

Output
The calculation puts the total energy at -5.186 eV/atom. The density is 6.66 g/cm3. Its energy relative to the elements is -31.36 kJ per mole of atoms. The value obtained for the density of states at the Fermi level is 4.44 states/eV per cell. The size of the total moment is 2.07 μB/cell. The space group is No. 166.



Record 9
An optimized crystal structure of PmHo2HgC, computed with PBE-GGA.

abc: 5.109 4.860 4.860
angles: 90.00 90.00 90.00
Sites, in units of the cell vectors:
Ho1 0.000 0.000 0.500
Hg1 0.500 0.500 0.500
Pm1 0.500 0.000 0.000
Ho2 0.000 0.500 0.000
C1 0.000 0.000 0.000

Output
The calculation puts the total energy at -5.021 eV/atom. The density is 9.46 g/cm3. Its energy relative to the elements is -32.30 kJ per mole of atoms. The value obtained for the density of states at the Fermi level is 6.23 states/eV per cell. The size of the total moment is 0.00 μB/cell. The space group is No. 123.



Record 10
An optimized crystal structure of NiIBr2, computed with PBE-GGA.

abc: 5.556 6.420 8.291
angles: 70.37 70.61 64.41
Sites, in units of the cell vectors:
Br1 0.479 0.005 0.381
Br2 0.826 0.019 0.678
I1 0.442 0.645 0.821
Ni1 0.301 0.077 0.666
I2 0.777 0.670 0.128
Br3 0.163 0.487 0.534
Br4 0.105 0.198 0.942
Ni2 0.964 0.608 0.814

Output
The calculation puts the total energy at -2.829 eV/atom. The density is 4.68 g/cm3. For the energy above the most stable polymorph in this dataset, the calculation gives 29 meV per atom. The value obtained for the density of states at the Fermi level is 5.83 states/eV per cell. The size of the total moment is 0.00 μB/cell. The space group is No. 1.



Record 11
An optimized crystal structure of Pt2PbO4, computed with PBE-GGA.

abc: 6.738 5.979 5.979
angles: 71.49 55.70 55.70
Sites, in units of the cell vectors:
O1 0.972 0.688 0.369
O2 0.659 0.369 0.312
O3 0.341 0.631 0.688
Pb1 0.000 0.000 0.000
O4 0.028 0.312 0.631
Pt1 0.250 0.500 0.500
Pt2 0.750 0.500 0.500

Output
The calculation puts the total energy at -5.119 eV/atom. The density is 6.68 g/cm3. For the energy above the most stable polymorph in this dataset, the calculation gives 693 meV per atom. The value obtained for the density of states at the Fermi level is 7.02 states/eV per cell. The size of the total moment is 0.00 μB/cell. The space group is No. 87.



Record 12
An optimized crystal structure of SmDyGa2Pt5, computed with PBE-GGA.

abc: 4.202 4.202 9.364
angles: 90.00 90.00 90.00
Sites, in units of the cell vectors:
Ga1 0.500 0.500 0.130
Pt1 0.500 0.000 0.272
Ga2 0.500 0.500 0.870
Sm1 0.000 0.000 0.500
Pt2 0.000 0.500 0.728
Pt3 0.000 0.500 0.272
Dy1 0.000 0.000 0.000
Pt4 0.500 0.000 0.728
Pt5 0.500 0.500 0.500

Output
The calculation puts the total energy at -5.993 eV/atom. The density is 14.34 g/cm3. Its energy relative to the elements is -89.57 kJ per mole of atoms. The value obtained for the density of states at the Fermi level is 3.56 states/eV per cell. The size of the total moment is 0.00 μB/cell. The space group is No. 123.